1.
The following is a DFT calculation (PBE) of a relaxed TmMnAl crystal.

```
TmMnAl
1.0
4.560 0.000 0.000
-2.280 3.949 0.000
0.000 0.000 3.362
Tm Mn Al
1 1 1
Direct
0.000 0.000 0.000 Tm
0.667 0.333 0.500 Mn
0.333 0.667 0.500 Al
```

Uncorrected energy = -0.218 Ha/atom
SG = P-6m2, No. 187
Density of states at the Fermi level = 1.534 states/eV per cell
Total magnetic moment = 3.5 μB per cell
Calculated formation energy = -0.137 eV per atom


2.
The following is a DFT calculation (PBE) of a relaxed KBa2Pm crystal.

```
KBa2Pm
1.0
3.999 0.000 0.000
-2.000 3.464 0.000
0.000 0.000 45.502
K Ba Pm
3 6 3
Direct
0.000 0.000 0.000 K
0.333 0.667 0.667 K
0.667 0.333 0.333 K
0.000 0.000 0.420 Ba
0.000 0.000 0.580 Ba
0.333 0.667 0.087 Ba
0.333 0.667 0.246 Ba
0.667 0.333 0.754 Ba
0.667 0.333 0.913 Ba
0.000 0.000 0.500 Pm
0.333 0.667 0.167 Pm
0.667 0.333 0.833 Pm
```

Uncorrected energy = -0.076 Ha/atom
SG = R-3m, No. 166
Density of states at the Fermi level = 18.356 states/eV per cell
E above lowest polymorph = 68 kJ/mol of formula units
Total magnetic moment = 2.0 μB per cell
Calculated formation energy = 0.359 eV per atom


3.
The following is a DFT calculation (PBE) of a relaxed ScTlW crystal.

```
ScTlW
1.0
3.140 0.000 0.000
-1.570 2.719 0.000
0.000 0.000 7.233
Sc Tl W
1 1 1
Direct
0.000 0.000 0.000 Sc
0.667 0.333 0.357 Tl
0.333 0.667 0.692 W
```

Uncorrected energy = -0.247 Ha/atom
SG = P3m1, No. 156
Density of states at the Fermi level = 3.304 states/eV per cell
E above lowest polymorph = 23 kJ/mol of formula units
Total magnetic moment = 0.0 μB per cell
Calculated formation energy = 0.486 eV per atom


4.
The following is a DFT calculation (PBE) of a relaxed LiEuZnAs crystal.

```
LiEuZnAs
1.0
7.032 0.000 0.000
0.000 7.032 0.000
0.000 0.000 7.032
Li Eu Zn As
4 4 4 4
Direct
0.000 0.000 0.000 Li
0.000 0.500 0.500 Li
0.500 0.000 0.500 Li
0.500 0.500 0.000 Li
0.000 0.000 0.500 Eu
0.000 0.500 0.000 Eu
0.500 0.000 0.000 Eu
0.500 0.500 0.500 Eu
0.250 0.250 0.250 Zn
0.250 0.750 0.750 Zn
0.750 0.250 0.750 Zn
0.750 0.750 0.250 Zn
0.250 0.250 0.750 As
0.250 0.750 0.250 As
0.750 0.250 0.250 As
0.750 0.750 0.750 As
```

Uncorrected energy = -0.188 Ha/atom
SG = F-43m, No. 216
Density of states at the Fermi level = 2.472 states/eV per cell
Total magnetic moment = 28.0 μB per cell
Calculated formation energy = -0.574 eV per atom